(1)
! Cr2CdAs PBE optimized geometry; values from VASP
&SYSTEM
  ibrav = 0, nat = 8, ntyp = 3
/
ATOMIC_SPECIES
Cr 52.00 Cr.upf
As 74.92 As.upf
Cd 112.41 Cd.upf
CELL_PARAMETERS angstrom
3.887 0.000 0.000
0.000 3.887 0.000
1.943 1.943 9.019
ATOMIC_POSITIONS angstrom
Cr 2.915 3.321 6.765
Cr 2.509 0.972 2.255
Cr 1.378 2.915 2.255
As 1.943 3.887 4.510
Cd 3.887 1.943 4.510
As 1.943 1.943 0.000
Cd 0.000 0.000 0.000
Cr 4.859 4.452 6.765
! - crystal system = tetragonal
! - calculated volume (Å³ per cell) = 136

(2)
! Cr2CdAs PBE optimized geometry; values from VASP
&SYSTEM
  ibrav = 0, nat = 4, ntyp = 3
/
ATOMIC_SPECIES
Cd 112.41 Cd.upf
Cr 52.00 Cr.upf
As 74.92 As.upf
CELL_PARAMETERS angstrom
-0.797 -0.953 -4.739
-3.154 -3.749 0.012
-0.318 4.281 2.361
ATOMIC_POSITIONS angstrom
Cd -1.546 0.488 -2.371
Cr 0.000 0.000 0.000
As -2.724 -0.910 0.005
Cr -1.976 -2.351 -2.363
! - crystal system = tetragonal
! - calculated volume (Å³ per cell) = 70

(3)
! Cr2CdAs PBE optimized geometry; values from VASP
&SYSTEM
  ibrav = 0, nat = 4, ntyp = 3
/
ATOMIC_SPECIES
Cd 112.41 Cd.upf
Cr 52.00 Cr.upf
As 74.92 As.upf
CELL_PARAMETERS angstrom
8.931 0.008 0.005
8.457 2.872 0.005
8.457 1.401 2.507
ATOMIC_POSITIONS angstrom
Cd 19.185 3.178 1.868
Cr 25.433 4.213 2.477
Cr 6.653 1.102 0.648
As 13.340 2.210 1.299
! - crystal system = trigonal
! - calculated volume (Å³ per cell) = 64

Number 1: energy of formation from the pure elements 2.80 eV per formula unit, total DFT energy (no corrections) -5.5037 eV/atom, polymorph energy (0 for the lowest one) 2.087 eV/f.u.. Number 2: energy of formation from the pure elements 1.73 eV per formula unit, total DFT energy (no corrections) -5.7716 eV/atom, polymorph energy (0 for the lowest one) 1.015 eV/f.u.. Number 3: energy of formation from the pure elements 1.09 eV per formula unit, total DFT energy (no corrections) -5.9315 eV/atom, polymorph energy (0 for the lowest one) 0.375 eV/f.u..